[1]
First-principles (PBE) data for crystalline Tl2Zn2AgPd5 at its relaxed geometry, as listed in Alexandria.

Output
- energy of formation from the pure elements (eV per atom) = -0.18
- DFT total energy (Ry/atom) = -0.278
- symmetry = P4/mbm (127)

CIF file:
```
data_Tl2Zn2AgPd5
_symmetry_space_group_name_H-M 'P 1'
_symmetry_Int_Tables_number 1
_cell_length_a 9.506
_cell_length_b 9.506
_cell_length_c 3.887
_cell_angle_alpha 90.00
_cell_angle_beta 90.00
_cell_angle_gamma 90.00
loop_
_symmetry_equiv_pos_as_xyz
'x,y,z'
loop_
_atom_site_label
_atom_site_fract_x
_atom_site_fract_y
_atom_site_fract_z
Tl1 0.174 0.326 0.000
Tl2 0.326 0.826 0.000
Tl3 0.674 0.174 0.000
Tl4 0.826 0.674 0.000
Zn1 0.125 0.625 0.000
Zn2 0.375 0.125 0.000
Zn3 0.625 0.875 0.000
Zn4 0.875 0.375 0.000
Ag1 0.000 0.000 0.000
Ag2 0.500 0.500 0.000
Pd1 0.000 0.500 0.500
Pd2 0.079 0.799 0.500
Pd3 0.201 0.079 0.500
Pd4 0.299 0.579 0.500
Pd5 0.421 0.299 0.500
Pd6 0.500 0.000 0.500
Pd7 0.579 0.701 0.500
Pd8 0.701 0.421 0.500
Pd9 0.799 0.921 0.500
Pd10 0.921 0.201 0.500
```

[2]
First-principles (PBE) data for crystalline FeReNi at its relaxed geometry, as listed in Alexandria.

Output
- energy of formation from the pure elements (eV per atom) = 0.10
- DFT total energy (Ry/atom) = -0.646
- symmetry = I4mm (107)
- ΔE to the lowest computed polymorph (eV/f.u.) = 0.22

CIF file:
```
data_FeReNi
_symmetry_space_group_name_H-M 'P 1'
_symmetry_Int_Tables_number 1
_cell_length_a 5.652
_cell_length_b 5.652
_cell_length_c 5.652
_cell_angle_alpha 152.94
_cell_angle_beta 152.94
_cell_angle_gamma 38.64
loop_
_symmetry_equiv_pos_as_xyz
'x,y,z'
loop_
_atom_site_label
_atom_site_fract_x
_atom_site_fract_y
_atom_site_fract_z
Fe1 0.000 0.000 0.000
Re1 0.333 0.333 0.000
Ni1 0.661 0.661 0.000
```

Among the records above, which one has the lowest DFT total energy?
FeReNi

Please write out number 2 again, unchanged.
First-principles (PBE) data for crystalline FeReNi at its relaxed geometry, as listed in Alexandria.

Output
- energy of formation from the pure elements (eV per atom) = 0.10
- DFT total energy (Ry/atom) = -0.646
- symmetry = I4mm (107)
- ΔE to the lowest computed polymorph (eV/f.u.) = 0.22

CIF file:
```
data_FeReNi
_symmetry_space_group_name_H-M 'P 1'
_symmetry_Int_Tables_number 1
_cell_length_a 5.652
_cell_length_b 5.652
_cell_length_c 5.652
_cell_angle_alpha 152.94
_cell_angle_beta 152.94
_cell_angle_gamma 38.64
loop_
_symmetry_equiv_pos_as_xyz
'x,y,z'
loop_
_atom_site_label
_atom_site_fract_x
_atom_site_fract_y
_atom_site_fract_z
Fe1 0.000 0.000 0.000
Re1 0.333 0.333 0.000
Ni1 0.661 0.661 0.000
```

What did the second record say?
First-principles (PBE) data for crystalline FeReNi at its relaxed geometry, as listed in Alexandria.

Output
- energy of formation from the pure elements (eV per atom) = 0.10
- DFT total energy (Ry/atom) = -0.646
- symmetry = I4mm (107)
- ΔE to the lowest computed polymorph (eV/f.u.) = 0.22

CIF file:
```
data_FeReNi
_symmetry_space_group_name_H-M 'P 1'
_symmetry_Int_Tables_number 1
_cell_length_a 5.652
_cell_length_b 5.652
_cell_length_c 5.652
_cell_angle_alpha 152.94
_cell_angle_beta 152.94
_cell_angle_gamma 38.64
loop_
_symmetry_equiv_pos_as_xyz
'x,y,z'
loop_
_atom_site_label
_atom_site_fract_x
_atom_site_fract_y
_atom_site_fract_z
Fe1 0.000 0.000 0.000
Re1 0.333 0.333 0.000
Ni1 0.661 0.661 0.000
```